a.
The following is a DFT calculation (GGA-PBE) of an optimized crystal structure of EuAl2Ge.

Computed properties:
Calculated density in g/cm³: 5.64
Size of the total moment in μB per formula unit: 6.85
Volume in Å³ per cell: 82.0
D(E_F) in states/eV/atom: 0.485

```
EuAl2Ge
1.0
4.275 0.000 0.000
0.000 4.275 0.000
0.000 0.000 4.486
Eu Al Ge
1 2 1
Cartesian
0.000 0.000 0.000 Eu
0.000 2.138 2.243 Al
2.138 0.000 2.243 Al
2.138 2.138 0.000 Ge
```

b.
The following is a DFT calculation (GGA-PBE) of an optimized crystal structure of EuAl2Ge.

Computed properties:
Calculated density in g/cm³: 3.78
Size of the total moment in μB per formula unit: 7.70
Volume in Å³ per cell: 367.0
D(E_F) in states/eV/atom: 2.189

```
EuAl2Ge
1.0
4.005 0.000 0.000
-2.003 3.469 0.000
0.000 0.000 26.420
Eu Al Ge
3 6 3
Cartesian
0.000 0.000 0.000 Eu
0.000 2.312 17.614 Eu
2.003 1.156 8.807 Eu
0.000 0.000 3.233 Al
0.000 0.000 23.188 Al
0.000 2.312 14.381 Al
0.000 2.312 20.846 Al
2.003 1.156 5.574 Al
2.003 1.156 12.039 Al
0.000 0.000 13.210 Ge
0.000 2.312 4.403 Ge
2.003 1.156 22.017 Ge
```

Which of them is least stable? Easy: b.

a.
The following is a DFT calculation (GGA-PBE) of an optimized crystal structure of Eu2AlH.

Computed properties:
Calculated density in g/cm³: 5.78
Size of the total moment in μB per formula unit: 14.86
Volume in Å³ per cell: 286.2
D(E_F) in states/eV/atom: 0.822

```
Eu2AlH
1.0
3.752 0.000 0.000
-1.876 3.250 0.000
0.000 0.000 23.469
Eu Al H
6 3 3
Cartesian
0.000 0.000 5.425 Eu
0.000 0.000 18.045 Eu
0.000 2.166 10.222 Eu
0.000 2.166 21.071 Eu
1.876 1.083 2.398 Eu
1.876 1.083 13.248 Eu
0.000 0.000 0.000 Al
0.000 2.166 15.646 Al
1.876 1.083 7.823 Al
0.000 0.000 11.735 H
0.000 2.166 3.912 H
1.876 1.083 19.558 H
```

b.
The following is a DFT calculation (GGA-PBE) of an optimized crystal structure of Eu2AlH.

Computed properties:
Calculated density in g/cm³: 6.36
Size of the total moment in μB per formula unit: 14.51
Volume in Å³ per cell: 86.6
D(E_F) in states/eV/atom: 0.419

```
Eu2AlH
1.0
3.308 0.000 0.000
0.000 3.308 0.000
0.000 0.000 7.915
Eu Al H
2 1 1
Cartesian
0.000 0.000 1.679 Eu
0.000 0.000 6.237 Eu
1.654 1.654 3.958 Al
1.654 1.654 0.000 H
```

Which of them is least stable? Easy: b.

a.
The following is a DFT calculation (GGA-PBE) of an optimized crystal structure of EuAlHg2.

Computed properties:
Calculated density in g/cm³: 9.83
Size of the total moment in μB per formula unit: 7.07
Volume in Å³ per cell: 98.0
D(E_F) in states/eV/atom: 2.058

```
EuAlHg2
1.0
3.649 0.000 0.000
0.000 3.649 0.000
0.000 0.000 7.362
Eu Al Hg
1 1 2
Cartesian
0.000 0.000 0.000 Eu
0.000 0.000 3.681 Al
1.824 1.824 2.075 Hg
1.824 1.824 5.287 Hg
```

b.
The following is a DFT calculation (GGA-PBE) of an optimized crystal structure of EuAlHg2.

Computed properties:
Calculated density in g/cm³: 10.02
Size of the total moment in μB per formula unit: 6.92
Volume in Å³ per cell: 384.6
D(E_F) in states/eV/atom: 0.880

```
EuAlHg2
1.0
7.272 0.000 0.000
0.000 7.272 0.000
0.000 0.000 7.272
Eu Al Hg
4 4 8
Cartesian
0.000 0.000 0.000 Eu
0.000 3.636 3.636 Eu
3.636 0.000 3.636 Eu
3.636 3.636 0.000 Eu
0.000 0.000 3.636 Al
0.000 3.636 0.000 Al
3.636 0.000 0.000 Al
3.636 3.636 3.636 Al
1.818 1.818 1.818 Hg
1.818 1.818 5.454 Hg
1.818 5.454 1.818 Hg
1.818 5.454 5.454 Hg
5.454 1.818 1.818 Hg
5.454 1.818 5.454 Hg
5.454 5.454 1.818 Hg
5.454 5.454 5.454 Hg
```

Which of them is least stable? Easy: a.

a.
The following is a DFT calculation (GGA-PBE) of an optimized crystal structure of EuHo2Al.

Computed properties:
Calculated density in g/cm³: 7.58
Size of the total moment in μB per formula unit: 7.60
Volume in Å³ per cell: 111.5
D(E_F) in states/eV/atom: 0.936

```
EuHo2Al
1.0
4.865 0.000 0.000
0.000 4.865 0.000
0.000 0.000 4.711
Eu Ho Al
1 2 1
Cartesian
0.000 0.000 0.000 Eu
0.000 2.432 2.356 Ho
2.432 0.000 2.356 Ho
2.432 2.432 0.000 Al
```

b.
The following is a DFT calculation (GGA-PBE) of an optimized crystal structure of EuHo2Al.

Computed properties:
Calculated density in g/cm³: 7.66
Size of the total moment in μB per formula unit: 7.33
Volume in Å³ per cell: 441.4
D(E_F) in states/eV/atom: 1.069

```
EuHo2Al
1.0
7.614 0.000 0.000
0.000 7.614 0.000
0.000 0.000 7.614
Eu Ho Al
4 8 4
Cartesian
0.000 0.000 0.000 Eu
0.000 3.807 3.807 Eu
3.807 0.000 3.807 Eu
3.807 3.807 0.000 Eu
1.904 1.904 1.904 Ho
1.904 1.904 5.711 Ho
1.904 5.711 1.904 Ho
1.904 5.711 5.711 Ho
5.711 1.904 1.904 Ho
5.711 1.904 5.711 Ho
5.711 5.711 1.904 Ho
5.711 5.711 5.711 Ho
0.000 0.000 3.807 Al
0.000 3.807 0.000 Al
3.807 0.000 0.000 Al
3.807 3.807 3.807 Al
```

c.
The following is a DFT calculation (GGA-PBE) of an optimized crystal structure of EuHo2Al.

Computed properties:
Calculated density in g/cm³: 7.19
Size of the total moment in μB per formula unit: 7.41
Volume in Å³ per cell: 117.5
D(E_F) in states/eV/atom: 0.749

```
EuHo2Al
1.0
3.552 0.000 0.000
0.000 3.552 0.000
0.000 0.000 9.309
Eu Ho Al
1 2 1
Cartesian
0.000 0.000 0.000 Eu
1.776 1.776 2.816 Ho
1.776 1.776 6.493 Ho
0.000 0.000 4.654 Al
```

Which of them is least stable? Easy: b.

a.
The following is a DFT calculation (GGA-PBE) of an optimized crystal structure of EuHoAl.

Computed properties:
Calculated density in g/cm³: 6.93
Size of the total moment in μB per formula unit: 7.07
Volume in Å³ per cell: 82.4
D(E_F) in states/eV/atom: 0.792

```
EuHoAl
1.0
5.219 0.000 0.000
-2.610 4.520 0.000
0.000 0.000 3.494
Eu Ho Al
1 1 1
Cartesian
0.000 0.000 0.000 Eu
0.000 3.013 2.068 Ho
2.610 1.507 1.206 Al
```

b.
The following is a DFT calculation (GGA-PBE) of an optimized crystal structure of EuHoAl.

Computed properties:
Calculated density in g/cm³: 6.56
Size of the total moment in μB per formula unit: 7.27
Volume in Å³ per cell: 174.1
D(E_F) in states/eV/atom: 1.012

```
EuHoAl
1.0
3.681 0.000 0.000
0.000 3.681 0.000
0.000 0.000 12.851
Eu Ho Al
2 2 2
Cartesian
0.000 0.000 0.000 Eu
1.840 1.840 6.425 Eu
0.000 0.000 3.616 Ho
1.840 1.840 10.042 Ho
0.000 0.000 8.433 Al
1.840 1.840 2.007 Al
```

Which of them is least stable? Easy: a.

a.
The following is a DFT calculation (GGA-PBE) of an optimized crystal structure of Eu2AlIn.

Computed properties:
Calculated density in g/cm³: 6.36
Size of the total moment in μB per formula unit: 14.26
Volume in Å³ per cell: 465.5
D(E_F) in states/eV/atom: 3.501

```
Eu2AlIn
1.0
7.750 0.000 0.000
0.000 7.750 0.000
0.000 0.000 7.750
Eu Al In
8 4 4
Cartesian
1.937 1.937 1.937 Eu
1.937 1.937 5.812 Eu
1.937 5.812 1.937 Eu
1.937 5.812 5.812 Eu
5.812 1.937 1.937 Eu
5.812 1.937 5.812 Eu
5.812 5.812 1.937 Eu
5.812 5.812 5.812 Eu
0.000 0.000 0.000 Al
0.000 3.875 3.875 Al
3.875 0.000 3.875 Al
3.875 3.875 0.000 Al
0.000 0.000 3.875 In
0.000 3.875 0.000 In
3.875 0.000 0.000 In
3.875 3.875 3.875 In
```

b.
The following is a DFT calculation (GGA-PBE) of an optimized crystal structure of Eu2AlIn.

Computed properties:
Calculated density in g/cm³: 6.40
Size of the total moment in μB per formula unit: 14.19
Volume in Å³ per cell: 115.7
D(E_F) in states/eV/atom: 3.611

```
Eu2AlIn
1.0
3.841 0.000 0.000
0.000 3.841 0.000
0.000 0.000 7.843
Eu Al In
2 1 1
Cartesian
0.000 0.000 1.857 Eu
0.000 0.000 5.986 Eu
1.921 1.921 0.000 Al
1.921 1.921 3.921 In
```

c.
The following is a DFT calculation (GGA-PBE) of an optimized crystal structure of Eu2AlIn.

Computed properties:
Calculated density in g/cm³: 6.04
Size of the total moment in μB per formula unit: 14.68
Volume in Å³ per cell: 367.9
D(E_F) in states/eV/atom: 2.653

```
Eu2AlIn
1.0
3.714 0.000 0.000
-1.857 3.217 0.000
0.000 0.000 30.789
Eu Al In
6 3 3
Cartesian
0.000 0.000 7.580 Eu
0.000 0.000 23.209 Eu
0.000 2.144 12.946 Eu
0.000 2.144 28.105 Eu
1.857 1.072 2.683 Eu
1.857 1.072 17.842 Eu
0.000 0.000 15.394 Al
0.000 2.144 5.131 Al
1.857 1.072 25.657 Al
0.000 0.000 0.000 In
0.000 2.144 20.526 In
1.857 1.072 10.263 In
```

Which of them is least stable? Easy: c.